A relaxed structure of BeZn3Pt12, computed with PBE.

```
16
Lattice="3.9152 0.0000 0.0000 0.0000 3.9152 0.0000 0.0000 0.0000 15.6095" Properties=species:S:1:pos:R:3 pbc="T T T"
Be 0.0000 0.0000 0.0000
Zn 0.0000 0.0000 3.8557
Zn 0.0000 0.0000 7.8048
Zn 0.0000 0.0000 11.7538
Pt 0.0000 1.9576 1.8608
Pt 0.0000 1.9576 5.8282
Pt 0.0000 1.9576 9.7813
Pt 0.0000 1.9576 13.7487
Pt 1.9576 0.0000 1.8608
Pt 1.9576 0.0000 5.8282
Pt 1.9576 0.0000 9.7813
Pt 1.9576 0.0000 13.7487
Pt 1.9576 1.9576 0.0000
Pt 1.9576 1.9576 3.8484
Pt 1.9576 1.9576 7.8048
Pt 1.9576 1.9576 11.7611
```

Calculated values
- Formation energy from the elements: -5.2 eV per formula unit
- Total DFT energy (no corrections): -5.325 eV per atom
- Space group: No. 123
- Calculated density: 17.67 Mg/m³